# 1
Computed, not measured: a PBEsol-optimized structure of RuRh at the SCAN level of DFT.

Geometry as POSCAR:
```
RuRh
1.0
-1.507 -3.479 0.092
2.034 1.263 2.941
-5.243 2.340 2.620
Rh Ru
2 2
Cartesian
-0.329 -1.897 1.043
-1.771 0.854 3.302
-3.622 -0.427 2.688
0.180 -0.017 2.328
```

ΔH_f (0 K), eV/f.u.: 2.22
Uncorrected energy, eV/atom: -33.19
N(E_F), states/eV per atom: 0.579
Magnetization, μB per formula unit: 0.00

=====

# 2
Computed, not measured: a PBEsol-optimized structure of Mg2ReBiS at the SCAN level of DFT.

Geometry as POSCAR:
```
Mg2ReBiS
1.0
4.372 0.000 0.000
0.000 4.876 0.000
0.000 0.000 4.876
Re S Mg Bi
1 1 2 1
Cartesian
2.186 0.000 0.000
0.000 0.000 0.000
0.000 0.000 2.438
0.000 2.438 0.000
2.186 2.438 2.438
```

Raw formation energy, eV/atom: 0.26
Uncorrected energy, eV/atom: -33.59
N(E_F), states/eV per atom: 0.503
Magnetization, μB per formula unit: 0.00

=====

# 3
Computed, not measured: a PBEsol-optimized structure of LaCuAs2 at the SCAN level of DFT.

Geometry as POSCAR:
```
LaCuAs2
1.0
4.183 0.000 0.000
0.000 4.183 0.000
-2.092 -2.092 4.606
La As Cu
1 2 1
Cartesian
0.000 2.092 2.303
2.092 0.000 2.303
0.000 0.000 0.000
2.092 2.092 0.000
```

ΔH_f (0 K), eV/f.u.: -1.71
Uncorrected energy, eV/atom: -25.10
N(E_F), states/eV per atom: 0.424
Magnetization, μB per formula unit: 0.00

=====

# 4
Computed, not measured: a PBEsol-optimized structure of BaCrOs at the SCAN level of DFT.

Geometry as POSCAR:
```
BaCrOs
1.0
4.710 0.000 0.000
2.355 4.079 0.000
2.355 1.360 3.845
Os Cr Ba
1 1 1
Cartesian
4.710 2.719 1.923
0.000 0.000 0.000
7.065 4.079 2.884
```

ΔH_f (0 K), eV/f.u.: 6.25
E above lowest polymorph, meV per atom: 528
Uncorrected energy, eV/atom: -41.19
N(E_F), states/eV per atom: 1.525
Magnetization, μB per formula unit: 3.99

=====

# 5
Computed, not measured: a PBEsol-optimized structure of Ba2ZnIr at the SCAN level of DFT.

Geometry as POSCAR:
```
Ba2ZnIr
1.0
-1.780 2.995 2.779
-2.716 -3.291 1.806
5.471 0.421 3.052
Ir Ba Zn
1 2 1
Cartesian
1.099 -2.377 3.266
2.318 0.542 4.474
0.879 -0.262 0.845
-0.620 -0.633 3.858
```

ΔH_f (0 K), eV/f.u.: -0.94
Uncorrected energy, eV/atom: -41.16
N(E_F), states/eV per atom: 0.575
Magnetization, μB per formula unit: 0.00

=====

# 6
Computed, not measured: a PBEsol-optimized structure of LiAuIN2 at the SCAN level of DFT.

Geometry as POSCAR:
```
LiAuIN2
1.0
3.935 0.000 0.000
0.000 3.935 0.000
0.000 0.000 7.432
Au I N Li
1 1 2 1
Cartesian
0.000 0.000 0.000
0.000 0.000 3.716
1.968 0.000 0.000
0.000 1.968 0.000
1.968 1.968 3.716
```

Raw formation energy, eV/atom: 0.91
Uncorrected energy, eV/atom: -24.47
N(E_F), states/eV per atom: 0.214
Magnetization, μB per formula unit: 3.27

=====

# 7
Computed, not measured: a PBEsol-optimized structure of MgAl2Os at the SCAN level of DFT.

Geometry as POSCAR:
```
MgAl2Os
1.0
-0.699 -3.775 -1.090
3.751 -0.971 0.961
-2.620 1.575 3.529
Os Al Mg
1 2 1
Cartesian
1.875 -0.486 0.480
0.979 -2.772 1.667
-0.547 -0.399 1.733
-0.349 -1.888 -0.545
```

ΔH_f (0 K), eV/f.u.: -1.31
E above lowest polymorph, meV per atom: 0
Uncorrected energy, eV/atom: -23.42
N(E_F), states/eV per atom: 0.416
Magnetization, μB per formula unit: 0.00

=====

# 8
Computed, not measured: a PBEsol-optimized structure of MnI3N at the SCAN level of DFT.

Geometry as POSCAR:
```
MnI3N
1.0
4.955 0.000 0.000
0.000 4.955 0.000
0.000 0.000 4.955
Mn I N
1 3 1
Cartesian
2.478 2.478 2.478
2.478 0.000 0.000
0.000 0.000 2.478
0.000 2.478 0.000
0.000 0.000 0.000
```

Raw formation energy, eV/atom: 0.86
E above lowest polymorph, meV per atom: 226
Uncorrected energy, eV/atom: -26.70
N(E_F), states/eV per atom: 0.160
Magnetization, μB per formula unit: 5.38

=====

# 9
Computed, not measured: a PBEsol-optimized structure of SrInGeSe2 at the SCAN level of DFT.

Geometry as POSCAR:
```
SrInGeSe2
1.0
-1.215 -4.663 -1.921
4.594 -0.208 -2.402
2.403 -2.613 4.821
Ge Se In Sr
1 2 1 1
Cartesian
2.891 -3.742 0.249
-0.608 -2.332 -0.961
2.297 -0.104 -1.201
0.000 0.000 0.000
1.202 -1.306 2.411
```

Raw formation energy, eV/atom: 0.27
E above lowest polymorph, meV per atom: 0
Uncorrected energy, eV/atom: -22.71
N(E_F), states/eV per atom: 0.779
Magnetization, μB per formula unit: 1.54

=====

# 10
Computed, not measured: a PBEsol-optimized structure of YSc2Be at the SCAN level of DFT.

Geometry as POSCAR:
```
YSc2Be
1.0
-0.255 -1.487 3.050
-1.188 -4.110 -2.104
5.774 1.457 -0.704
Y Sc Be
1 2 1
Cartesian
0.253 -0.845 1.507
1.799 -3.469 0.357
4.442 -1.958 1.315
2.633 -0.700 -0.121
```

ΔH_f (0 K), eV/f.u.: 0.35
Uncorrected energy, eV/atom: -15.08
N(E_F), states/eV per atom: 0.772
Magnetization, μB per formula unit: 0.00

=====

# 11
Computed, not measured: a PBEsol-optimized structure of MnGe3Sb at the SCAN level of DFT.

Geometry as POSCAR:
```
MnGe3Sb
1.0
5.169 0.000 0.000
0.000 5.169 0.000
0.000 0.000 5.169
Ge Sb Mn
3 1 1
Cartesian
2.584 0.000 0.000
0.000 2.584 0.000
0.000 0.000 2.584
0.000 0.000 0.000
2.584 2.584 2.584
```

Raw formation energy, eV/atom: 1.18
Uncorrected energy, eV/atom: -21.38
N(E_F), states/eV per atom: 0.633
Magnetization, μB per formula unit: 4.87

=====

# 12
Computed, not measured: a PBEsol-optimized structure of SrReSb2I at the SCAN level of DFT.

Geometry as POSCAR:
```
SrReSb2I
1.0
-3.493 4.478 -1.592
-2.635 -0.147 5.365
4.034 3.889 2.088
Re Sr Sb I
1 1 2 1
Cartesian
-1.047 4.110 2.930
0.000 0.000 0.000
2.017 1.944 1.044
-1.317 -0.074 2.683
-1.746 2.239 -0.796
```

Raw formation energy, eV/atom: 1.65
Uncorrected energy, eV/atom: -39.28
N(E_F), states/eV per atom: 0.518
Magnetization, μB per formula unit: 4.19

=====

# 13
Computed, not measured: a PBEsol-optimized structure of InSiHg2 at the SCAN level of DFT.

Geometry as POSCAR:
```
InSiHg2
1.0
4.186 0.017 0.000
-0.229 4.180 0.000
-1.979 -2.099 5.044
Hg Si In
2 1 1
Cartesian
-1.104 1.041 2.522
1.104 -1.041 2.522
1.979 2.099 0.000
0.000 0.000 0.000
```

Raw formation energy, eV/atom: 0.31
Uncorrected energy, eV/atom: -44.62
N(E_F), states/eV per atom: 0.433
Magnetization, μB per formula unit: 0.00

=====

# 14
Computed, not measured: a PBEsol-optimized structure of SrMg2Cd at the SCAN level of DFT.

Geometry as POSCAR:
```
SrMg2Cd
1.0
3.703 0.000 0.000
0.000 3.702 0.000
0.000 0.000 7.917
Cd Mg Sr
1 2 1
Cartesian
1.852 1.851 6.287
0.000 0.000 7.802
1.852 1.851 1.615
0.000 0.000 4.089
```

ΔH_f (0 K), eV/f.u.: -0.58
Uncorrected energy, eV/atom: -15.80
N(E_F), states/eV per atom: 0.637
Magnetization, μB per formula unit: 0.04

=====

# 15
Computed, not measured: a PBEsol-optimized structure of FeSn2PbF at the SCAN level of DFT.

Geometry as POSCAR:
```
FeSn2PbF
1.0
-3.762 -0.407 -0.642
1.025 -1.503 -5.050
0.285 -5.121 1.582
F Sn Pb Fe
1 2 1 1
Cartesian
0.000 0.000 0.000
0.142 -2.560 0.791
0.512 -0.751 -2.525
-1.226 -3.515 -2.055
-1.881 -0.204 -0.321
```

Raw formation energy, eV/atom: -0.07
Uncorrected energy, eV/atom: -33.93
N(E_F), states/eV per atom: 0.606
Magnetization, μB per formula unit: 3.27

=====

# 16
Computed, not measured: a PBEsol-optimized structure of Al5CuSe8 at the SCAN level of DFT.

Geometry as POSCAR:
```
Al5CuSe8
1.0
-2.493 -5.193 -4.687
-4.073 -5.660 2.554
-7.241 -0.386 -1.605
Cu Se Al
1 8 5
Cartesian
0.000 0.000 0.000
-8.504 -6.923 -2.302
-1.801 -1.466 -0.487
-2.993 -3.950 -2.729
-3.749 -4.173 0.734
-6.615 -4.298 -3.487
-7.348 -4.514 -0.128
-5.145 -6.744 -1.558
-5.264 -1.651 -1.255
-7.231 -7.124 -0.027
-10.355 -8.430 -2.803
-8.903 -4.340 -2.222
-5.081 -4.137 -1.375
-6.397 -6.878 -3.849
```

Raw formation energy, eV/atom: -0.89
Uncorrected energy, eV/atom: -16.21
Magnetization, μB per formula unit: 0.00

=====

# 17
Computed, not measured: a PBEsol-optimized structure of FeAuCl2 at the SCAN level of DFT.

Geometry as POSCAR:
```
FeAuCl2
1.0
-2.952 0.785 -0.158
1.569 -0.580 -2.587
-2.418 -8.981 0.548
Au Fe Cl
1 1 2
Cartesian
-1.476 0.393 -0.079
-2.685 -4.098 0.195
-1.652 -6.135 0.374
-0.766 -2.846 0.174
```

Raw formation energy, eV/atom: -0.15
E above lowest polymorph, meV per atom: 68
Uncorrected energy, eV/atom: -25.96
N(E_F), states/eV per atom: 0.658
Magnetization, μB per formula unit: 3.88

=====

# 18
Computed, not measured: a PBEsol-optimized structure of SrMg2 at the SCAN level of DFT.

Geometry as POSCAR:
```
SrMg2
1.0
-2.991 2.149 -1.184
0.547 -1.234 -3.624
-2.607 -5.212 3.445
Mg Sr
2 1
Cartesian
-2.372 -2.946 0.645
-2.678 -1.351 -2.008
0.000 0.000 0.000
```

ΔH_f (0 K), eV/f.u.: -0.06
Uncorrected energy, eV/atom: -10.76
N(E_F), states/eV per atom: 0.642
Magnetization, μB per formula unit: 0.01

=====

# 19
Computed, not measured: a PBEsol-optimized structure of NaFeIrN2 at the SCAN level of DFT.

Geometry as POSCAR:
```
NaFeIrN2
1.0
-0.958 -3.331 1.026
-1.015 -0.751 -3.387
4.245 -1.510 -0.937
Fe Ir Na N
1 1 1 2
Cartesian
0.000 0.000 0.000
1.136 -2.796 -1.649
2.122 -0.755 -0.469
-0.507 -0.375 -1.693
-0.479 -1.665 0.513
```

Raw formation energy, eV/atom: 1.72
Uncorrected energy, eV/atom: -20.69
N(E_F), states/eV per atom: 0.591
Magnetization, μB per formula unit: 2.19

=====

# 20
Computed, not measured: a PBEsol-optimized structure of Mg4Co3 at the SCAN level of DFT.

Geometry as POSCAR:
```
Mg4Co3
1.0
2.970 0.000 0.000
0.000 2.970 0.000
-1.485 -1.485 12.193
Mg Co
4 3
Cartesian
0.000 0.000 10.708
1.485 1.485 8.313
0.000 0.000 3.880
1.485 1.485 1.485
0.000 0.000 6.645
0.000 0.000 0.000
1.485 1.485 5.547
```

ΔH_f (0 K), eV/f.u.: 0.71
Uncorrected energy, eV/atom: -10.16
N(E_F), states/eV per atom: 0.570
Magnetization, μB per formula unit: 4.30